Arrangement one

Below is an optimized crystal structure of TcWSe2, with properties calculated at the PBE level.

Mass density ... 9654 kg/m3
Magnetic moment ... 0.0 Bohr magnetons per cell

Cell lengths 3.0207, 3.0207, 8.2900 Å; angles 90.00, 90.00, 90.00 degrees
Space group P4mm (No. 99)
Asymmetric unit:
Tc (0.0000, 0.0000, 0.0000) (multiplicity 1)
W (0.5000, 0.5000, 0.2359) (multiplicity 1)
Se (0.0000, 0.0000, 0.4174) (multiplicity 1)
Se (0.5000, 0.5000, 0.8310) (multiplicity 1)

---

Arrangement two

Below is an optimized crystal structure of TcWSe2, with properties calculated at the PBE level.

Mass density ... 10606 kg/m3
Magnetic moment ... 0.0 Bohr magnetons per cell

Cell lengths 3.0567, 5.5271, 8.1505 Å; angles 90.00, 90.00, 90.00 degrees
Space group Cmmm (No. 65)
Asymmetric unit:
Tc (0.0000, 0.0000, 0.0000) (multiplicity 2)
W (0.0000, 0.0000, 0.5000) (multiplicity 2)
Se (0.0000, 0.5000, 0.2465) (multiplicity 4)

---

Arrangement three

Below is an optimized crystal structure of TcWSe2, with properties calculated at the PBE level.

Mass density ... 10522 kg/m3
Magnetic moment ... 0.0 Bohr magnetons per cell

Cell lengths 5.2229, 8.6226, 3.9769 Å; angles 90.00, 129.19, 90.00 degrees
Space group C2/m (No. 12)
Asymmetric unit:
Tc (0.0000, 0.0000, 0.0000) (multiplicity 2)
W (0.0000, 0.5000, 0.0000) (multiplicity 2)
Se (0.2500, 0.2500, 0.5000) (multiplicity 4)

---

Arrangement four

Below is an optimized crystal structure of TcWSe2, with properties calculated at the PBE level.

Mass density ... 11837 kg/m3
Magnetic moment ... 0.0 Bohr magnetons per cell

Cell lengths 6.2724, 6.2724, 6.2724 Å; angles 90.00, 90.00, 90.00 degrees
Space group Fm-3m (No. 225)
Asymmetric unit:
Tc (0.0000, 0.0000, 0.0000) (multiplicity 4)
W (0.0000, 0.0000, 0.5000) (multiplicity 4)
Se (0.2500, 0.2500, 0.2500) (multiplicity 8)

---

Energies relative to the most stable structure are arrangement one 0; arrangement two 852; arrangement three 749; arrangement four 415, reported in meV per atom.